Here is a relaxed structure of Ac3PmNd3S8 from Alexandria via LeMat-Bulk. Energies are from PBE.

abc: 8.2617 8.2619 8.4181
angles: 119.39 90.00 120.00
Fractional positions:
Ac  0.0000  0.5000  0.0000
Ac  0.0000  0.0000  0.0000
Ac  0.5000  0.5000  0.0000
S  0.7451  0.4903  0.7354
S  0.7567  0.0095  0.2661
S  0.2433  0.9905  0.7339
S  0.2528  0.0095  0.2661
S  0.2433  0.4867  0.7339
S  0.2549  0.5097  0.2646
S  0.7472  0.9905  0.7339
S  0.7567  0.5133  0.2661
Nd  0.5000  0.0000  0.5000
Nd  0.5000  0.5000  0.5000
Nd  0.0000  0.5000  0.5000
Pm  0.0000  0.0000  0.5000

Its energy relative to the elements, uncorrected is -2.039 eV per atom. As for the space-group type: R-3m, No. 166.

Here is a relaxed structure of Ac4PmNd3S8 from Alexandria via LeMat-Bulk. Energies are from PBE.

abc: 8.3536 8.3780 8.3543
angles: 119.91 120.00 90.00
Fractional positions:
S  0.7562  0.2663  0.0100
S  0.2438  0.7337  0.9900
S  0.2438  0.7337  0.4876
S  0.7562  0.2663  0.5124
S  0.7449  0.7348  0.4899
S  0.7462  0.7337  0.9900
S  0.2551  0.2652  0.5101
S  0.2538  0.2663  0.0100
Pm  0.0000  0.5000  0.0000
Ac  0.5000  0.0000  0.0000
Ac  0.5000  0.0000  0.5000
Ac  0.0000  0.0000  0.5000
Ac  0.0000  0.0000  0.0000
Nd  0.5000  0.5000  0.0000
Nd  0.0000  0.5000  0.5000
Nd  0.5000  0.5000  0.5000

Its energy relative to the elements, uncorrected is -2.009 eV per atom. As for the space-group type: R-3m, No. 166.

Question: The lowest energy relative to the elements, uncorrected belongs to which entry?
Answer: Ac3PmNd3S8

Question: energy relative to the elements, uncorrected of number 2 (Ac4PmNd3S8)?
Answer: -2.009 eV per atom

What did the second record say?
Here is a relaxed structure of Ac4PmNd3S8 from Alexandria via LeMat-Bulk. Energies are from PBE.

abc: 8.3536 8.3780 8.3543
angles: 119.91 120.00 90.00
Fractional positions:
S  0.7562  0.2663  0.0100
S  0.2438  0.7337  0.9900
S  0.2438  0.7337  0.4876
S  0.7562  0.2663  0.5124
S  0.7449  0.7348  0.4899
S  0.7462  0.7337  0.9900
S  0.2551  0.2652  0.5101
S  0.2538  0.2663  0.0100
Pm  0.0000  0.5000  0.0000
Ac  0.5000  0.0000  0.0000
Ac  0.5000  0.0000  0.5000
Ac  0.0000  0.0000  0.5000
Ac  0.0000  0.0000  0.0000
Nd  0.5000  0.5000  0.0000
Nd  0.0000  0.5000  0.5000
Nd  0.5000  0.5000  0.5000

Its energy relative to the elements, uncorrected is -2.009 eV per atom. As for the space-group type: R-3m, No. 166.

Question: Which value of energy relative to the elements, uncorrected does entry 2 give?
Answer: -2.009 eV per atom